## Tc4C3 (PBE)

Data for crystalline Tc4C3 at its relaxed geometry.

space group	No. 191
relative energy among the computed polymorphs	1.301	eV/atom
density of states at the Fermi level	0.91	states/eV/atom
DFT formation energy	1.804	eV per atom

Cell lengths 4.420, 4.420, 4.717 Å; angles 90.00, 90.00, 120.00 degrees
Element x y z (fractional)
C 0.500 0.500 0.000
C 0.500 0.000 0.000
C 0.000 0.500 0.000
Tc 0.000 0.000 0.751
Tc 0.000 0.000 0.249
Tc 0.333 0.667 0.500
Tc 0.667 0.333 0.500